Model P:
# Li2ZnCd2 | Alexandria | PBE | optimized geometry
# magnetization: 0.00 μB/f.u.
data_Li2ZnCd2
_symmetry_space_group_name_H-M 'P 4/m b m'
_symmetry_Int_Tables_number 127
_symmetry_space_group_name_Hall '-P 4 2ab'
_cell_length_a 7.532
_cell_length_b 7.532
_cell_length_c 3.266
_cell_angle_alpha 90.00
_cell_angle_beta 90.00
_cell_angle_gamma 90.00
loop_
_atom_site_label
_atom_site_type_symbol
_atom_site_fract_x
_atom_site_fract_y
_atom_site_fract_z
Li1 Li 0.157 0.343 0.000
Zn1 Zn 0.000 0.000 0.500
Cd1 Cd 0.142 0.642 0.500

Model Q:
# Li2ZnCd2 | Alexandria | PBE | optimized geometry
# magnetization: 0.00 μB/f.u.
data_Li2ZnCd2
_symmetry_space_group_name_H-M 'P 4/m b m'
_symmetry_Int_Tables_number 127
_symmetry_space_group_name_Hall '-P 4 2ab'
_cell_length_a 7.345
_cell_length_b 7.345
_cell_length_c 3.330
_cell_angle_alpha 90.00
_cell_angle_beta 90.00
_cell_angle_gamma 90.00
loop_
_atom_site_label
_atom_site_type_symbol
_atom_site_fract_x
_atom_site_fract_y
_atom_site_fract_z
Li1 Li 0.141 0.359 0.000
Zn1 Zn 0.000 0.000 0.000
Cd1 Cd 0.156 0.656 0.500

Verdict on stability: model P comes out on top.

Model P:
# Li7Zn2Cd2 | Alexandria | PBE | optimized geometry
# magnetization: 0.00 μB/f.u.
data_Li7Zn2Cd2
_symmetry_space_group_name_H-M 'C 1 2/m 1'
_symmetry_Int_Tables_number 12
_symmetry_space_group_name_Hall '-C 2y'
_cell_length_a 9.912
_cell_length_b 8.323
_cell_length_c 5.001
_cell_angle_alpha 90.00
_cell_angle_beta 105.69
_cell_angle_gamma 90.00
loop_
_atom_site_label
_atom_site_type_symbol
_atom_site_fract_x
_atom_site_fract_y
_atom_site_fract_z
Li1 Li 0.000 0.000 0.000
Li2 Li 0.031 0.500 0.773
Li3 Li 0.223 0.183 0.230
Zn1 Zn 0.236 0.000 0.748
Cd1 Cd 0.000 0.191 0.500

Model Q:
# Li7Zn2Cd2 | Alexandria | PBE | optimized geometry
# magnetization: 0.00 μB/f.u.
data_Li7Zn2Cd2
_symmetry_space_group_name_H-M 'C 1 2/m 1'
_symmetry_Int_Tables_number 12
_symmetry_space_group_name_Hall '-C 2y'
_cell_length_a 7.523
_cell_length_b 7.837
_cell_length_c 6.979
_cell_angle_alpha 90.00
_cell_angle_beta 101.76
_cell_angle_gamma 90.00
loop_
_atom_site_label
_atom_site_type_symbol
_atom_site_fract_x
_atom_site_fract_y
_atom_site_fract_z
Li1 Li 0.000 0.000 0.000
Li2 Li 0.163 0.000 0.434
Li3 Li 0.221 0.306 0.211
Zn1 Zn 0.000 0.318 0.500
Cd1 Cd 0.107 0.500 0.851

Verdict on stability: model Q comes out on top.

Model P:
# Li2ZnCd3 | Alexandria | PBE | optimized geometry
# magnetization: 0.00 μB/f.u.
data_Li2ZnCd3
_symmetry_space_group_name_H-M 'P m c 21'
_symmetry_Int_Tables_number 26
_symmetry_space_group_name_Hall 'P 2c -2'
_cell_length_a 4.487
_cell_length_b 8.578
_cell_length_c 5.763
_cell_angle_alpha 90.00
_cell_angle_beta 90.00
_cell_angle_gamma 90.00
loop_
_atom_site_label
_atom_site_type_symbol
_atom_site_fract_x
_atom_site_fract_y
_atom_site_fract_z
Li1 Li 0.000 0.155 0.000
Li2 Li 0.500 0.339 0.330
Zn1 Zn 0.500 0.009 0.226
Cd1 Cd 0.000 0.159 0.492
Cd2 Cd 0.000 0.493 0.097
Cd3 Cd 0.500 0.317 0.835

Model Q:
# Li2ZnCd3 | Alexandria | PBE | optimized geometry
# magnetization: 0.00 μB/f.u.
data_Li2ZnCd3
_symmetry_space_group_name_H-M 'P m m 2'
_symmetry_Int_Tables_number 25
_symmetry_space_group_name_Hall 'P 2 -2'
_cell_length_a 2.986
_cell_length_b 4.740
_cell_length_c 8.365
_cell_angle_alpha 90.00
_cell_angle_beta 90.00
_cell_angle_gamma 90.00
loop_
_atom_site_label
_atom_site_type_symbol
_atom_site_fract_x
_atom_site_fract_y
_atom_site_fract_z
Li1 Li 0.000 0.000 0.000
Li2 Li 0.000 0.500 0.483
Zn1 Zn 0.500 0.000 0.320
Cd1 Cd 0.500 0.000 0.640
Cd2 Cd 0.500 0.500 0.169
Cd3 Cd 0.500 0.500 0.827

Verdict on stability: model P comes out on top.

Model P:
# Li6ZnCd3 | Alexandria | PBE | optimized geometry
# magnetization: 0.00 μB/f.u.
data_Li6ZnCd3
_symmetry_space_group_name_H-M 'C m c 21'
_symmetry_Int_Tables_number 36
_symmetry_space_group_name_Hall 'C 2c -2'
_cell_length_a 10.235
_cell_length_b 14.070
_cell_length_c 5.074
_cell_angle_alpha 90.00
_cell_angle_beta 90.00
_cell_angle_gamma 90.00
loop_
_atom_site_label
_atom_site_type_symbol
_atom_site_fract_x
_atom_site_fract_y
_atom_site_fract_z
Li1 Li 0.000 0.039 0.000
Li2 Li 0.000 0.247 0.822
Li3 Li 0.125 0.446 0.735
Li4 Li 0.223 0.209 0.138
Zn1 Zn 0.000 0.167 0.376
Cd1 Cd 0.000 0.362 0.269
Cd2 Cd 0.206 0.093 0.663

Model Q:
# Li6ZnCd3 | Alexandria | PBE | optimized geometry
# magnetization: 0.00 μB/f.u.
data_Li6ZnCd3
_symmetry_space_group_name_H-M 'P 1 21/m 1'
_symmetry_Int_Tables_number 11
_symmetry_space_group_name_Hall '-P 2yb'
_cell_length_a 7.833
_cell_length_b 4.712
_cell_length_c 9.951
_cell_angle_alpha 90.00
_cell_angle_beta 107.64
_cell_angle_gamma 90.00
loop_
_atom_site_label
_atom_site_type_symbol
_atom_site_fract_x
_atom_site_fract_y
_atom_site_fract_z
Li1 Li 0.047 0.250 0.390
Li2 Li 0.138 0.750 0.190
Li3 Li 0.149 0.250 0.694
Li4 Li 0.238 0.250 0.996
Li5 Li 0.345 0.750 0.802
Li6 Li 0.453 0.250 0.600
Zn1 Zn 0.051 0.750 0.902
Cd1 Cd 0.244 0.750 0.500
Cd2 Cd 0.345 0.250 0.297
Cd3 Cd 0.447 0.750 0.099

Verdict on stability: model Q comes out on top.

Model P:
# Li8Zn2Cd | Alexandria | PBE | optimized geometry
# magnetization: 0.00 μB/f.u.
data_Li8Zn2Cd
_symmetry_space_group_name_H-M 'C 1 2/m 1'
_symmetry_Int_Tables_number 12
_symmetry_space_group_name_Hall '-C 2y'
_cell_length_a 14.937
_cell_length_b 4.347
_cell_length_c 5.804
_cell_angle_alpha 90.00
_cell_angle_beta 98.08
_cell_angle_gamma 90.00
loop_
_atom_site_label
_atom_site_type_symbol
_atom_site_fract_x
_atom_site_fract_y
_atom_site_fract_z
Li1 Li 0.056 0.000 0.231
Li2 Li 0.097 0.500 0.964
Li3 Li 0.136 0.000 0.693
Li4 Li 0.189 0.500 0.403
Zn1 Zn 0.231 0.000 0.120
Cd1 Cd 0.000 0.500 0.500

Model Q:
# Li8Zn2Cd | Alexandria | PBE | optimized geometry
# magnetization: 0.00 μB/f.u.
data_Li8Zn2Cd
_symmetry_space_group_name_H-M 'C 1 2/m 1'
_symmetry_Int_Tables_number 12
_symmetry_space_group_name_Hall '-C 2y'
_cell_length_a 7.521
_cell_length_b 12.243
_cell_length_c 4.835
_cell_angle_alpha 90.00
_cell_angle_beta 114.02
_cell_angle_gamma 90.00
loop_
_atom_site_label
_atom_site_type_symbol
_atom_site_fract_x
_atom_site_fract_y
_atom_site_fract_z
Li1 Li 0.000 0.227 0.000
Li2 Li 0.104 0.500 0.816
Li3 Li 0.200 0.117 0.614
Zn1 Zn 0.000 0.314 0.500
Cd1 Cd 0.000 0.000 0.000

Verdict on stability: model P comes out on top.

Model P:
# Li2ZnCd6 | Alexandria | PBE | optimized geometry
# magnetization: 0.00 μB/f.u.
data_Li2ZnCd6
_symmetry_space_group_name_H-M 'C 1 2/m 1'
_symmetry_Int_Tables_number 12
_symmetry_space_group_name_Hall '-C 2y'
_cell_length_a 14.313
_cell_length_b 3.046
_cell_length_c 10.234
_cell_angle_alpha 90.00
_cell_angle_beta 123.68
_cell_angle_gamma 90.00
loop_
_atom_site_label
_atom_site_type_symbol
_atom_site_fract_x
_atom_site_fract_y
_atom_site_fract_z
Li1 Li 0.159 0.000 0.291
Zn1 Zn 0.000 0.500 0.000
Cd1 Cd 0.040 0.500 0.755
Cd2 Cd 0.125 0.000 0.546
Cd3 Cd 0.227 0.500 0.109

Model Q:
# Li2ZnCd6 | Alexandria | PBE | optimized geometry
# magnetization: 0.00 μB/f.u.
data_Li2ZnCd6
_symmetry_space_group_name_H-M 'C 1 2/m 1'
_symmetry_Int_Tables_number 12
_symmetry_space_group_name_Hall '-C 2y'
_cell_length_a 8.352
_cell_length_b 4.802
_cell_length_c 8.784
_cell_angle_alpha 90.00
_cell_angle_beta 90.23
_cell_angle_gamma 90.00
loop_
_atom_site_label
_atom_site_type_symbol
_atom_site_fract_x
_atom_site_fract_y
_atom_site_fract_z
Li1 Li 0.167 0.000 0.224
Zn1 Zn 0.000 0.500 0.000
Cd1 Cd 0.000 0.500 0.318
Cd2 Cd 0.167 0.000 0.563
Cd3 Cd 0.167 0.000 0.900

Verdict on stability: model Q comes out on top.

Model P:
# Li3ZnCd2 | Alexandria | PBE | optimized geometry
# magnetization: 0.00 μB/f.u.
data_Li3ZnCd2
_symmetry_space_group_name_H-M 'C m c 21'
_symmetry_Int_Tables_number 36
_symmetry_space_group_name_Hall 'C 2c -2'
_cell_length_a 15.515
_cell_length_b 5.634
_cell_length_c 5.201
_cell_angle_alpha 90.00
_cell_angle_beta 90.00
_cell_angle_gamma 90.00
loop_
_atom_site_label
_atom_site_type_symbol
_atom_site_fract_x
_atom_site_fract_y
_atom_site_fract_z
Li1 Li 0.000 0.104 0.000
Li2 Li 0.179 0.147 0.744
Zn1 Zn 0.000 0.382 0.569
Cd1 Cd 0.141 0.348 0.249

Model Q:
# Li3ZnCd2 | Alexandria | PBE | optimized geometry
# magnetization: 0.00 μB/f.u.
data_Li3ZnCd2
_symmetry_space_group_name_H-M 'F m m m'
_symmetry_Int_Tables_number 69
_symmetry_space_group_name_Hall '-F 2 2'
_cell_length_a 5.750
_cell_length_b 9.058
_cell_length_c 15.969
_cell_angle_alpha 90.00
_cell_angle_beta 90.00
_cell_angle_gamma 90.00
loop_
_atom_site_label
_atom_site_type_symbol
_atom_site_fract_x
_atom_site_fract_y
_atom_site_fract_z
Li1 Li 0.000 0.000 0.170
Li2 Li 0.000 0.248 0.417
Zn1 Zn 0.000 0.000 0.338
Cd1 Cd 0.248 0.000 0.000
Cd2 Cd 0.250 0.250 0.250

Verdict on stability: model Q comes out on top.

Model P:
# LiZnCd6 | Alexandria | PBE | optimized geometry
# magnetization: 0.00 μB/f.u.
data_LiZnCd6
_symmetry_space_group_name_H-M 'A m m 2'
_symmetry_Int_Tables_number 38
_symmetry_space_group_name_Hall 'A 2 -2'
_cell_length_a 4.441
_cell_length_b 8.228
_cell_length_c 9.161
_cell_angle_alpha 90.00
_cell_angle_beta 90.00
_cell_angle_gamma 90.00
loop_
_atom_site_label
_atom_site_type_symbol
_atom_site_fract_x
_atom_site_fract_y
_atom_site_fract_z
Li1 Li 0.000 0.000 0.000
Zn1 Zn 0.500 0.000 0.778
Cd1 Cd 0.000 0.000 0.460
Cd2 Cd 0.000 0.217 0.735
Cd3 Cd 0.500 0.000 0.226
Cd4 Cd 0.500 0.247 0.493

Model Q:
# LiZnCd6 | Alexandria | PBE | optimized geometry
# magnetization: 0.00 μB/f.u.
data_LiZnCd6
_symmetry_space_group_name_H-M 'P -1'
_symmetry_Int_Tables_number 2
_symmetry_space_group_name_Hall '-P 1'
_cell_length_a 5.313
_cell_length_b 5.480
_cell_length_c 6.003
_cell_angle_alpha 82.41
_cell_angle_beta 85.47
_cell_angle_gamma 88.90
loop_
_atom_site_label
_atom_site_type_symbol
_atom_site_fract_x
_atom_site_fract_y
_atom_site_fract_z
Li1 Li 0.000 0.000 0.000
Zn1 Zn 0.500 0.500 0.500
Cd1 Cd 0.005 0.459 0.250
Cd2 Cd 0.256 0.973 0.425
Cd3 Cd 0.460 0.258 0.949

Verdict on stability: model P comes out on top.

Model P:
# Li5ZnCd | Alexandria | PBE | optimized geometry
# magnetization: 0.00 μB/f.u.
data_Li5ZnCd
_symmetry_space_group_name_H-M 'C 1 2/c 1'
_symmetry_Int_Tables_number 15
_symmetry_space_group_name_Hall '-C 2yc'
_cell_length_a 9.717
_cell_length_b 5.522
_cell_length_c 9.778
_cell_angle_alpha 90.00
_cell_angle_beta 102.96
_cell_angle_gamma 90.00
loop_
_atom_site_label
_atom_site_type_symbol
_atom_site_fract_x
_atom_site_fract_y
_atom_site_fract_z
Li1 Li 0.000 0.192 0.250
Li2 Li 0.147 0.434 0.035
Li3 Li 0.237 0.107 0.679
Zn1 Zn 0.000 0.000 0.000
Cd1 Cd 0.000 0.307 0.750

Model Q:
# Li5ZnCd | Alexandria | PBE | optimized geometry
# magnetization: 0.00 μB/f.u.
data_Li5ZnCd
_symmetry_space_group_name_H-M 'C m m m'
_symmetry_Int_Tables_number 65
_symmetry_space_group_name_Hall '-C 2 2'
_cell_length_a 6.513
_cell_length_b 6.525
_cell_length_c 6.306
_cell_angle_alpha 90.00
_cell_angle_beta 90.00
_cell_angle_gamma 90.00
loop_
_atom_site_label
_atom_site_type_symbol
_atom_site_fract_x
_atom_site_fract_y
_atom_site_fract_z
Li1 Li 0.000 0.000 0.000
Li2 Li 0.250 0.250 0.273
Zn1 Zn 0.000 0.000 0.500
Cd1 Cd 0.000 0.500 0.000

Verdict on stability: model P comes out on top.

Model P:
# Li3Zn2Cd7 | Alexandria | PBE | optimized geometry
# magnetization: 0.00 μB/f.u.
data_Li3Zn2Cd7
_symmetry_space_group_name_H-M 'P -1'
_symmetry_Int_Tables_number 2
_symmetry_space_group_name_Hall '-P 1'
_cell_length_a 5.133
_cell_length_b 5.228
_cell_length_c 9.910
_cell_angle_alpha 96.07
_cell_angle_beta 96.97
_cell_angle_gamma 108.99
loop_
_atom_site_label
_atom_site_type_symbol
_atom_site_fract_x
_atom_site_fract_y
_atom_site_fract_z
Li1 Li 0.000 0.000 0.000
Li2 Li 0.085 0.073 0.350
Zn1 Zn 0.486 0.150 0.606
Cd1 Cd 0.069 0.540 0.175
Cd2 Cd 0.262 0.547 0.592
Cd3 Cd 0.451 0.951 0.848
Cd4 Cd 0.500 0.500 0.000

Model Q:
# Li3Zn2Cd7 | Alexandria | PBE | optimized geometry
# magnetization: 0.00 μB/f.u.
data_Li3Zn2Cd7
_symmetry_space_group_name_H-M 'P 1 2/m 1'
_symmetry_Int_Tables_number 10
_symmetry_space_group_name_Hall '-P 2y'
_cell_length_a 4.755
_cell_length_b 2.986
_cell_length_c 17.322
_cell_angle_alpha 90.00
_cell_angle_beta 97.65
_cell_angle_gamma 90.00
loop_
_atom_site_label
_atom_site_type_symbol
_atom_site_fract_x
_atom_site_fract_y
_atom_site_fract_z
Li1 Li 0.000 0.000 0.000
Li2 Li 0.310 0.500 0.624
Zn1 Zn 0.153 0.000 0.300
Cd1 Cd 0.075 0.500 0.139
Cd2 Cd 0.228 0.000 0.455
Cd3 Cd 0.387 0.000 0.783
Cd4 Cd 0.500 0.500 0.000

Verdict on stability: model P comes out on top.